Compound: Ac2Mg2Cd15
Source: OQMD via LeMat-Bulk
Functional: GGA-PBE
Structure: optimized geometry

Cell lengths 7.7395, 7.7395, 7.7395 Å; angles 82.14, 82.14, 82.14 degrees
Closest atoms and distances in Å follow each position.
Sites, in units of the cell vectors:
Cd 0.1564 0.6429 0.6429  8 Cd 2.92-3.21
Cd 0.2918 0.0000 0.7082  8 Cd 2.95-3.21
Cd 0.5000 0.0000 0.0000  8 Cd 2.95-2.99, 2 Mg 3.10
Cd 0.3571 0.3571 0.8436  8 Cd 2.92-3.21
Cd 0.7082 0.2918 0.0000  8 Cd 2.95-3.21
Cd 0.0000 0.5000 0.0000  8 Cd 2.95-2.99, 2 Mg 3.10
Cd 0.0000 0.0000 0.5000  8 Cd 2.95-2.99, 2 Mg 3.10
Cd 0.0000 0.2918 0.7082  8 Cd 2.95-3.21
Cd 0.6429 0.1564 0.6429  8 Cd 2.92-3.21
Cd 0.0000 0.7082 0.2918  8 Cd 2.95-3.21
Cd 0.6429 0.6429 0.1564  8 Cd 2.92-3.21
Cd 0.2918 0.7082 0.0000  8 Cd 2.95-3.21
Cd 0.7082 0.0000 0.2918  8 Cd 2.95-3.21
Cd 0.8436 0.3571 0.3571  8 Cd 2.92-3.21
Cd 0.3571 0.8436 0.3571  8 Cd 2.92-3.21
Ac 0.3367 0.3367 0.3367  1 Mg 3.58, 18 Cd 3.59-3.97
Ac 0.6633 0.6633 0.6633  1 Mg 3.58, 18 Cd 3.59-3.97
Mg 0.8998 0.8998 0.8998  1 Mg 3.03, 12 Cd 3.10-3.33
Mg 0.1002 0.1002 0.1002  1 Mg 3.03, 12 Cd 3.10-3.33

Properties
- Total energy: -1.514 eV per atom
- Space-group type: R-3m (166)
- Theoretical density: 8.048 g/cm3